Crystalline SrCdSe2 at its relaxed geometry, computed with PBE.

Cell: 8.316 8.316 8.316 Å, 33.74 33.74 33.74°
Sites, in units of the cell vectors:
1 Se 0.104 0.104 0.104
2 Cd 0.000 0.000 0.000
3 Sr 0.500 0.500 0.500
4 Se 0.896 0.896 0.896

Space-group type: R-3m, No. 166
Raw formation energy in eV/atom: -1.129